1.
# SrLa2Cd

A crystal of SrLa2Cd relaxed with PBEsol (SCAN, the Alexandria database).

Values from the calculation:
SG = Immm (71)
Total energy = -34.887 eV/atom

The structure in POSCAR format:
```
SrLa2Cd
1.0
-1.870 2.856 6.329
1.870 -2.856 6.329
1.870 2.856 -6.329
Sr La Cd
1 2 1
direct
0.000 0.000 0.000
0.285 0.785 0.500
0.715 0.215 0.500
0.500 0.500 0.000
```

2.
# CsAs2WSe

A crystal of CsAs2WSe relaxed with PBEsol (SCAN, the Alexandria database).

Values from the calculation:
SG = P4/mmm (123)
Formation energy (no corrections) = 0.00 eV/atom

The structure in POSCAR format:
```
CsAs2WSe
1.0
4.935 0.000 0.000
0.000 4.935 0.000
0.000 0.000 5.123
Cs As W Se
1 2 1 1
direct
0.000 0.000 0.000
0.000 0.500 0.500
0.500 0.000 0.500
0.500 0.500 0.500
0.500 0.500 0.000
```

3.
# AgTe2Cl

A crystal of AgTe2Cl relaxed with PBEsol (SCAN, the Alexandria database).

Values from the calculation:
SG = Cm (8)
Formation energy (no corrections) = -0.19 eV/atom

The structure in POSCAR format:
```
AgTe2Cl
1.0
5.800 -1.629 0.000
5.800 1.629 0.000
-0.820 0.000 5.607
Ag Te Cl
1 2 1
direct
0.000 0.000 0.000
0.376 0.376 0.649
0.572 0.572 0.400
0.224 0.224 0.980
```

4.
# Sc2TlHg2

A crystal of Sc2TlHg2 relaxed with PBEsol (SCAN, the Alexandria database).

Values from the calculation:
SG = P4/mbm (127)
Total energy = -47.892 eV/atom

The structure in POSCAR format:
```
Sc2TlHg2
1.0
7.857 0.000 0.000
0.000 7.857 0.000
0.000 0.000 3.549
Sc Tl Hg
4 2 4
direct
0.170 0.330 0.000
0.330 0.830 0.000
0.670 0.170 0.000
0.830 0.670 0.000
0.000 0.000 0.500
0.500 0.500 0.500
0.129 0.629 0.500
0.371 0.129 0.500
0.629 0.871 0.500
0.871 0.371 0.500
```

5.
# LiAuSe2

A crystal of LiAuSe2 relaxed with PBEsol (SCAN, the Alexandria database).

Values from the calculation:
SG = P4/mmm (123)
Formation energy (no corrections) = -0.20 eV/atom

The structure in POSCAR format:
```
LiAuSe2
1.0
2.725 0.000 0.000
0.000 2.725 0.000
0.000 0.000 10.194
Li Au Se
1 1 2
direct
0.000 0.000 0.000
0.000 0.000 0.500
0.500 0.500 0.196
0.500 0.500 0.804
```

6.
# NdInAg2

A crystal of NdInAg2 relaxed with PBEsol (SCAN, the Alexandria database).

Values from the calculation:
SG = Fm-3m (225)
Total energy = -35.350 eV/atom

The structure in POSCAR format:
```
NdInAg2
1.0
0.000 3.497 3.497
3.497 0.000 3.497
3.497 3.497 0.000
Nd In Ag
1 1 2
direct
0.000 0.000 0.000
0.500 0.500 0.500
0.250 0.250 0.250
0.750 0.750 0.750
```

7.
# HgAsPb3

A crystal of HgAsPb3 relaxed with PBEsol (SCAN, the Alexandria database).

Values from the calculation:
SG = Pm-3m (221)
Total energy = -62.460 eV/atom

The structure in POSCAR format:
```
HgAsPb3
1.0
5.532 0.000 0.000
0.000 5.532 0.000
0.000 0.000 5.532
Hg As Pb
1 1 3
direct
0.000 0.000 0.000
0.500 0.500 0.500
0.000 0.000 0.500
0.000 0.500 0.000
0.500 0.000 0.000
```

8.
# LiMnAs2Se

A crystal of LiMnAs2Se relaxed with PBEsol (SCAN, the Alexandria database).

Values from the calculation:
SG = P4/mmm (123)
Energy relative to the lowest polymorph listed for this composition = 0.0000 eV/atom
Formation energy (no corrections) = -0.06 eV/atom

The structure in POSCAR format:
```
LiMnAs2Se
1.0
4.489 0.000 0.000
0.000 4.489 0.000
0.000 0.000 5.165
Li Mn As Se
1 1 2 1
direct
0.000 0.000 0.000
0.500 0.500 0.500
0.000 0.500 0.500
0.500 0.000 0.500
0.500 0.500 0.000
```

9.
# CoSnHg2I

A crystal of CoSnHg2I relaxed with PBEsol (SCAN, the Alexandria database).

Values from the calculation:
SG = P4/mmm (123)
Formation energy (no corrections) = 0.70 eV/atom

The structure in POSCAR format:
```
CoSnHg2I
1.0
5.453 0.000 0.000
0.000 5.453 0.000
0.000 0.000 5.920
Co Sn Hg I
1 1 2 1
direct
0.000 0.000 0.000
0.500 0.500 0.500
0.000 0.500 0.500
0.500 0.000 0.500
0.500 0.500 0.000
```

10.
# Li3V2Cr2O8

A crystal of Li3V2Cr2O8 relaxed with PBEsol (SCAN, the Alexandria database).

Values from the calculation:
SG = C2/m (12)
Formation energy (no corrections) = -2.53 eV/atom

The structure in POSCAR format:
```
Li3V2Cr2O8
1.0
4.954 -2.833 0.000
4.954 2.833 0.000
-3.435 0.000 4.751
Li V Cr O
3 2 2 8
direct
0.000 0.000 0.000
0.000 0.500 0.000
0.500 0.000 0.000
0.000 0.500 0.500
0.500 0.000 0.500
0.500 0.500 0.000
0.500 0.500 0.500
0.253 0.253 0.264
0.256 0.256 0.737
0.262 0.726 0.747
0.274 0.738 0.253
0.726 0.262 0.747
0.738 0.274 0.253
0.744 0.744 0.263
0.747 0.747 0.736
```

11.
# CrP2Ir

A crystal of CrP2Ir relaxed with PBEsol (SCAN, the Alexandria database).

Values from the calculation:
SG = P4/mmm (123)
Total energy = -27.657 eV/atom

The structure in POSCAR format:
```
CrP2Ir
1.0
2.876 0.000 0.000
0.000 2.876 0.000
0.000 0.000 5.765
Cr P Ir
1 2 1
direct
0.000 0.000 0.000
0.500 0.500 0.223
0.500 0.500 0.777
0.000 0.000 0.500
```

12.
# Bi5IO7

A crystal of Bi5IO7 relaxed with PBEsol (SCAN, the Alexandria database).

Values from the calculation:
SG = C2/m (12)
Energy relative to the lowest polymorph listed for this composition = 0.0075 eV/atom
Formation energy (no corrections) = -1.09 eV/atom

The structure in POSCAR format:
```
Bi5IO7
1.0
9.206 -2.085 0.000
9.206 2.085 0.000
-3.154 0.000 12.629
Bi I O
10 2 14
direct
0.032 0.032 0.365
0.113 0.113 0.122
0.224 0.224 0.871
0.294 0.294 0.632
0.379 0.379 0.403
0.621 0.621 0.597
0.706 0.706 0.368
0.776 0.776 0.129
0.887 0.887 0.878
0.968 0.968 0.635
0.441 0.441 0.130
0.559 0.559 0.870
0.081 0.081 0.532
0.131 0.131 0.294
0.191 0.191 0.703
0.225 0.225 0.094
0.273 0.273 0.440
0.339 0.339 0.838
0.426 0.426 0.585
0.574 0.574 0.415
0.661 0.661 0.162
0.727 0.727 0.560
0.775 0.775 0.906
0.809 0.809 0.297
0.869 0.869 0.706
0.919 0.919 0.468
```

13.
# MgTl2In

A crystal of MgTl2In relaxed with PBEsol (SCAN, the Alexandria database).

Values from the calculation:
SG = Pmmm (47)
Total energy = -45.760 eV/atom

The structure in POSCAR format:
```
MgTl2In
1.0
3.724 0.000 0.000
0.000 5.230 0.000
0.000 0.000 5.325
Mg Tl In
1 2 1
direct
0.000 0.000 0.000
0.000 0.500 0.500
0.500 0.500 0.000
0.500 0.000 0.500
```

14.
# K2TaPdRh

A crystal of K2TaPdRh relaxed with PBEsol (SCAN, the Alexandria database).

Values from the calculation:
SG = P4/mmm (123)
Total energy = -28.483 eV/atom

The structure in POSCAR format:
```
K2TaPdRh
1.0
6.313 0.000 0.000
0.000 6.313 0.000
0.000 0.000 4.501
K Ta Pd Rh
2 1 1 1
direct
0.000 0.500 0.000
0.500 0.000 0.000
0.000 0.000 0.000
0.500 0.500 0.500
0.000 0.000 0.500
```

15.
# YPdI2N

A crystal of YPdI2N relaxed with PBEsol (SCAN, the Alexandria database).

Values from the calculation:
SG = P4/mmm (123)
Formation energy (no corrections) = 0.15 eV/atom

The structure in POSCAR format:
```
YPdI2N
1.0
5.745 0.000 0.000
0.000 5.745 0.000
0.000 0.000 3.702
Y Pd I N
1 1 2 1
direct
0.000 0.000 0.000
0.500 0.500 0.500
0.000 0.500 0.500
0.500 0.000 0.500
0.500 0.500 0.000
```

16.
# GaIrCl2

A crystal of GaIrCl2 relaxed with PBEsol (SCAN, the Alexandria database).

Values from the calculation:
SG = I-42d (122)
Formation energy (no corrections) = 0.48 eV/atom

The structure in POSCAR format:
```
GaIrCl2
1.0
-2.542 2.542 7.226
2.542 -2.542 7.226
2.542 2.542 -7.226
Ga Ir Cl
2 2 4
direct
0.000 0.000 0.000
0.750 0.250 0.500
0.250 0.750 0.500
0.500 0.500 0.000
0.217 0.625 0.092
0.375 0.467 0.592
0.533 0.125 0.908
0.875 0.783 0.408
```

17.
# LaAl2Pt

A crystal of LaAl2Pt relaxed with PBEsol (SCAN, the Alexandria database).

Values from the calculation:
SG = R3m (160)
Total energy = -33.242 eV/atom

The structure in POSCAR format:
```
LaAl2Pt
1.0
2.162 1.248 5.388
-2.162 1.248 5.388
0.000 -2.496 5.388
La Al Pt
1 2 1
direct
0.000 0.000 0.000
0.203 0.203 0.203
0.465 0.465 0.465
0.811 0.811 0.811
```

18.
# CoSb2As

A crystal of CoSb2As relaxed with PBEsol (SCAN, the Alexandria database).

Values from the calculation:
SG = I-42d (122)
Formation energy (no corrections) = 0.26 eV/atom

The structure in POSCAR format:
```
CoSb2As
1.0
-2.971 2.971 5.724
2.971 -2.971 5.724
2.971 2.971 -5.724
Co Sb As
2 4 2
direct
0.000 0.000 0.000
0.750 0.250 0.500
0.077 0.625 0.952
0.375 0.327 0.452
0.673 0.125 0.048
0.875 0.923 0.548
0.250 0.750 0.500
0.500 0.500 0.000
```

19.
# CdTeF3

A crystal of CdTeF3 relaxed with PBEsol (SCAN, the Alexandria database).

Values from the calculation:
SG = Pm-3m (221)
Formation energy (no corrections) = -1.08 eV/atom

The structure in POSCAR format:
```
CdTeF3
1.0
4.534 0.000 0.000
0.000 4.534 0.000
0.000 0.000 4.534
Cd Te F
1 1 3
direct
0.000 0.000 0.000
0.500 0.500 0.500
0.000 0.500 0.500
0.500 0.000 0.500
0.500 0.500 0.000
```

20.
# K2Rh

A crystal of K2Rh relaxed with PBEsol (SCAN, the Alexandria database).

Values from the calculation:
SG = Cmcm (63)
Energy relative to the lowest polymorph listed for this composition = 0.3101 eV/atom

The structure in POSCAR format:
```
K2Rh
1.0
1.436 -9.287 0.000
1.436 9.287 0.000
0.000 0.000 5.602
K Rh
4 2
direct
0.042 0.958 0.750
0.287 0.713 0.250
0.713 0.287 0.750
0.958 0.042 0.250
0.376 0.624 0.750
0.624 0.376 0.250
```